No. 1
An optimized crystal structure of CsPuTe. Source: the Open Quantum Materials Database, functional PBE.

- Raw total energy: -6.234 eV per atom

Unit cell a=8.197 b=8.197 c=8.197 alpha=90.00 beta=90.00 gamma=90.00
Space group F-43m (No. 216)
Asymmetric unit:
Cs1 0.000 0.000 0.000 (multiplicity 4)
Pu1 0.000 0.000 0.500 (multiplicity 4)
Te1 0.250 0.250 0.250 (multiplicity 4)

=====

No. 2
An optimized crystal structure of Cu4Ag. Source: the Open Quantum Materials Database, functional PBE.

- Formation energy: 1.56 kcal/mol of atoms
- Polymorph energy (0 for the lowest one): 0.023 eV per atom
- Raw total energy: -3.471 eV per atom

Unit cell a=8.441 b=3.683 c=8.388 alpha=90.00 beta=90.42 gamma=90.00
Space group C2/m (No. 12)
Asymmetric unit:
Cu1 0.058 0.000 0.361 (multiplicity 4)
Cu2 0.150 0.500 0.544 (multiplicity 4)
Cu3 0.157 0.000 0.053 (multiplicity 4)
Cu4 0.249 0.000 0.739 (multiplicity 4)
Ag1 0.048 0.500 0.842 (multiplicity 4)

=====

No. 3
An optimized crystal structure of Cs2NbIrS6. Source: the Open Quantum Materials Database, functional PBE.

- Raw total energy: -5.001 eV per atom

Unit cell a=9.747 b=9.747 c=9.747 alpha=90.00 beta=90.00 gamma=90.00
Space group Fm-3m (No. 225)
Asymmetric unit:
Cs1 0.250 0.250 0.250 (multiplicity 8)
Nb1 0.000 0.000 0.000 (multiplicity 4)
Ir1 0.000 0.000 0.500 (multiplicity 4)
S1 0.000 0.000 0.253 (multiplicity 24)

=====

No. 4
An optimized crystal structure of Co2PdPb. Source: the Open Quantum Materials Database, functional PBE.

- Raw total energy: -5.432 eV per atom

Unit cell a=6.213 b=6.213 c=6.213 alpha=90.00 beta=90.00 gamma=90.00
Space group F-43m (No. 216)
Asymmetric unit:
Co1 0.000 0.000 0.000 (multiplicity 4)
Co2 0.250 0.250 0.250 (multiplicity 4)
Pd1 0.250 0.250 0.750 (multiplicity 4)
Pb1 0.000 0.000 0.500 (multiplicity 4)